Material: Pr3Y4Ho2
Method: DFT, PBE
State: optimized geometry

The space group is C2/c (No. 15) and the conventional cell measures 16.764, 11.793 and 6.097 Å, with angles of 90.00, 97.76 and 90.00 degrees. The inequivalent atoms are Pr at (0.000, 0.106, 0.250), Pr at (0.167, 0.389, 0.082), Y at (0.051, 0.369, 0.521), Y at (0.216, 0.127, 0.359) and Ho at (0.114, 0.134, 0.814).

For the total magnetization, the calculation gives 0.00 μB/f.u. The formation energy comes out at 0.097 eV/atom. As for the distance to the lowest polymorph of the same formula: 78 meV/atom. The crystal system is monoclinic. Its density of states at the Fermi level is 57.7 states/eV per cell.

Material: Tb3PmAl2
Method: DFT, PBE
State: optimized geometry

The space group is P4/mmm (No. 123) and the conventional cell measures 3.554, 3.554 and 12.798 Å, with angles of 90.00, 90.00 and 90.00 degrees. The inequivalent atoms are Tb at (0.000, 0.000, 0.000), Tb at (0.000, 0.000, 0.295), Pm at (0.500, 0.500, 0.500) and Al at (0.500, 0.500, 0.149).

For the total magnetization, the calculation gives 0.00 μB/f.u. The formation energy comes out at -0.249 eV/atom. As for the distance to the lowest polymorph of the same formula: 0 meV/atom. The crystal system is tetragonal. Its density of states at the Fermi level is 5.5 states/eV per cell.

Material: Mg2H5Ir3
Method: DFT, PBE
State: optimized geometry

The space group is P1 (No. 1) and the conventional cell measures 2.988, 4.724 and 7.115 Å, with angles of 74.26, 89.99 and 90.00 degrees. The inequivalent atoms are Mg at (0.000, 0.000, 0.000), Mg at (0.001, 0.671, 0.654), H at (0.003, 0.533, 0.035), H at (0.501, 0.322, 0.841), H at (0.501, 0.519, 0.499), H at (0.501, 0.822, 0.811), H at (0.502, 0.268, 0.183), Ir at (0.002, 0.428, 0.272), Ir at (0.501, 0.167, 0.659) and Ir at (0.501, 0.896, 0.326).

For the total magnetization, the calculation gives 0.00 μB/f.u. As for the distance to the lowest polymorph of the same formula: 36 meV/atom. The crystal system is triclinic. Its density of states at the Fermi level is 1.6 states/eV per cell.

Material: PuTl2Ag2Br6
Method: DFT, PBE
State: optimized geometry

The space group is C2/m (No. 12) and the conventional cell measures 13.279, 8.339 and 8.180 Å, with angles of 90.00, 121.73 and 90.00 degrees. The inequivalent atoms are Pu at (0.000, 0.000, 0.000), Tl at (0.240, 0.000, 0.694), Ag at (0.046, 0.500, 0.879), Br at (0.064, 0.227, 0.315) and Br at (0.247, 0.000, 0.122).

For the total magnetization, the calculation gives 5.30 μB/f.u. Its uncorrected formation energy is -799 meV per atom. The crystal system is monoclinic. Its density of states at the Fermi level is 26.2 states/eV per cell.

Material: Sm3Bi2Se2
Method: DFT, PBE
State: optimized geometry

The space group is C2/m (No. 12) and the conventional cell measures 16.137, 4.367 and 7.874 Å, with angles of 90.00, 116.00 and 90.00 degrees. The inequivalent atoms are Sm at (0.000, 0.000, 0.000), Sm at (0.226, 0.500, 0.754), Bi at (0.129, 0.500, 0.299) and Se at (0.136, 0.000, 0.843).

For the total magnetization, the calculation gives 0.00 μB/f.u. Its uncorrected formation energy is -1158 meV per atom. The crystal system is monoclinic. Its density of states at the Fermi level is 9.0 states/eV per cell.

Material: Ta3Cu3N
Method: DFT, PBE
State: optimized geometry

The space group is Fd-3m (No. 227, origin choice 2) and the conventional cell measures 11.482, 11.482 and 11.482 Å, with angles of 90.00, 90.00 and 90.00 degrees. The inequivalent atoms are Ta at (0.059, 0.375, 0.375), Cu at (0.000, 0.000, 0.500), Cu at (0.043, 0.043, 0.707) and N at (0.000, 0.000, 0.000).

For the total magnetization, the calculation gives 0.00 μB/f.u. Its uncorrected formation energy is -364 meV per atom. The crystal system is cubic. Its density of states at the Fermi level is 73.8 states/eV per cell.

Material: Be2CdSi
Method: DFT, PBE
State: optimized geometry

The space group is R-3m (No. 166, hexagonal axes) and the conventional cell measures 2.8714, 2.8714 and 22.8977 Å, with angles of 90.00, 90.00 and 120.00 degrees. The inequivalent atoms are Be at (0.0000, 0.0000, 0.2406), Cd at (0.0000, 0.0000, 0.0000) and Si at (0.0000, 0.0000, 0.5000).

For the total magnetization, the calculation gives 0.00 μB/f.u. Its uncorrected formation energy is 480 meV per atom. As for the distance to the lowest polymorph of the same formula: 75 meV/atom. The crystal system is trigonal. Its density of states at the Fermi level is 3.9 states/eV per cell.

Material: HfTlS2
Method: DFT, PBE
State: optimized geometry

The space group is P3m1 (No. 156) and the conventional cell measures 3.9714, 3.9714 and 8.3542 Å, with angles of 90.00, 90.00 and 120.00 degrees. The inequivalent atoms are Hf at (0.0000, 0.0000, 0.0000), Tl at (0.6667, 0.3333, 0.4945), S at (0.0000, 0.0000, 0.2818) and S at (0.3333, 0.6667, 0.8826).

For the total magnetization, the calculation gives 0.60 μB/f.u. Its uncorrected formation energy is -781 meV per atom. The crystal system is trigonal. Its density of states at the Fermi level is 2.7 states/eV per cell.

Material: CaZr2Br
Method: DFT, PBE
State: optimized geometry

The space group is I-4m2 (No. 119) and the conventional cell measures 4.557, 4.557 and 9.600 Å, with angles of 90.00, 90.00 and 90.00 degrees. The inequivalent atoms are Ca at (0.000, 0.000, 0.000), Zr at (0.000, 0.000, 0.500), Zr at (0.000, 0.500, 0.750) and Br at (0.000, 0.500, 0.250).

For the total magnetization, the calculation gives 0.00 μB/f.u. Its uncorrected formation energy is 363 meV per atom. As for the distance to the lowest polymorph of the same formula: 670 meV/atom. The crystal system is tetragonal. Its density of states at the Fermi level is 14.0 states/eV per cell.

Material: LaPmCu
Method: DFT, PBE
State: optimized geometry

The space group is Pmma (No. 51) and the conventional cell measures 15.502, 3.889 and 8.417 Å, with angles of 90.00, 90.00 and 90.00 degrees. The inequivalent atoms are La at (0.056, 0.000, 0.197), La at (0.250, 0.000, 0.870), Pm at (0.109, 0.500, 0.579), Pm at (0.250, 0.500, 0.248), Cu at (0.092, 0.500, 0.935) and Cu at (0.250, 0.000, 0.500).

For the total magnetization, the calculation gives 0.00 μB/f.u. The formation energy comes out at -0.091 eV/atom. As for the distance to the lowest polymorph of the same formula: 4 meV/atom. The crystal system is orthorhombic. Its density of states at the Fermi level is 16.7 states/eV per cell.

Material: Tm2MgZn4
Method: DFT, PBE
State: optimized geometry

The space group is P-1 (No. 2) and the conventional cell measures 4.451, 5.538 and 6.424 Å, with angles of 73.45, 89.98 and 66.56 degrees. The inequivalent atoms are Tm at (0.150, 0.200, 0.258), Mg at (0.500, 0.500, 0.500), Zn at (0.153, 0.193, 0.751) and Zn at (0.397, 0.705, 0.067).

For the total magnetization, the calculation gives 0.00 μB/f.u. The formation energy comes out at -0.301 eV/atom. The crystal system is triclinic. Its density of states at the Fermi level is 3.7 states/eV per cell.